# 1
VASP calculation (GGA-PBE) on an optimized crystal structure of NdY2Sn9.

Results
ΔE_f: -0.4521 eV per atom
volume: 26.627 Å³/atom
total energy: -59.1 eV/f.u.
total magnetic moment: 0.000 μB/f.u.
ρ: 7.2 Mg/m³

Cell lengths 4.814, 4.814, 13.789 Å; angles 90.00, 90.00, 90.00 degrees
Fractional coordinates of all 12 atoms:
1 Nd 0.000 0.000 0.000
2 Y 0.000 0.000 0.334
3 Y 0.000 0.000 0.666
4 Sn 0.000 0.500 0.170
5 Sn 0.000 0.500 0.500
6 Sn 0.000 0.500 0.830
7 Sn 0.500 0.000 0.170
8 Sn 0.500 0.000 0.500
9 Sn 0.500 0.000 0.830
10 Sn 0.500 0.500 0.000
11 Sn 0.500 0.500 0.335
12 Sn 0.500 0.500 0.665



# 2
VASP calculation (GGA-PBE) on an optimized crystal structure of Ca5Cd3Cl16.

Results
volume: 29.104 Å³/atom
total energy: -87.7 eV/f.u.
energy relative to the elements, uncorrected: -1.892 eV/atom
total magnetic moment: 0.000 μB/f.u.
ρ: 2.6 Mg/m³

Cell lengths 7.991, 7.991, 12.610 Å; angles 90.94, 90.94, 60.18 degrees
Fractional coordinates of all 24 atoms:
1 Ca 0.000 0.000 0.000
2 Ca 0.169 0.169 0.732
3 Ca 0.169 0.665 0.500
4 Ca 0.501 0.501 0.230
5 Ca 0.665 0.169 0.500
6 Cd 0.497 0.998 0.002
7 Cd 0.665 0.665 0.501
8 Cd 0.998 0.497 0.002
9 Cl 0.158 0.666 0.117
10 Cl 0.172 0.172 0.117
11 Cl 0.320 0.320 0.881
12 Cl 0.322 0.863 0.874
13 Cl 0.349 0.349 0.371
14 Cl 0.352 0.806 0.374
15 Cl 0.505 0.994 0.617
16 Cl 0.506 0.506 0.618
17 Cl 0.666 0.158 0.117
18 Cl 0.670 0.670 0.114
19 Cl 0.806 0.352 0.374
20 Cl 0.825 0.825 0.891
21 Cl 0.827 0.827 0.389
22 Cl 0.863 0.322 0.874
23 Cl 0.994 0.505 0.617
24 Cl 0.999 0.999 0.619



# 3
VASP calculation (GGA-PBE) on an optimized crystal structure of PPd2C2.

Results
ΔE_f: 1.2865 eV per atom
volume: 11.234 Å³/atom
total energy: -27.8 eV/f.u.
total magnetic moment: 0.000 μB/f.u.
offset from the most stable computed form: 0 meV per atom
ρ: 7.9 Mg/m³

Cell lengths 8.021, 8.021, 8.021 Å; angles 160.73, 160.73, 27.38 degrees
Fractional coordinates of all 5 atoms:
1 P 0.000 0.000 0.000
2 Pd 0.379 0.379 0.000
3 Pd 0.621 0.621 0.000
4 C 0.250 0.750 0.500
5 C 0.750 0.250 0.500



# 4
VASP calculation (GGA-PBE) on an optimized crystal structure of La2CdHS.

Results
volume: 34.998 Å³/atom
total energy: -15.7 eV/f.u.
total magnetic moment: 0.001 μB/f.u.
offset from the most stable computed form: 970 meV per atom
ρ: 4.0 Mg/m³

Cell lengths 5.900, 5.900, 5.027 Å; angles 90.00, 90.00, 90.00 degrees
Fractional coordinates of all 5 atoms:
1 La 0.000 0.500 0.000
2 La 0.500 0.000 0.000
3 Cd 0.000 0.000 0.000
4 H 0.500 0.500 0.500
5 S 0.000 0.000 0.500